Record 1
# Li2AsRu

A geometry-optimized Li2AsRu structure (PBE, the Alexandria database).

Output
* space group: Pm
* DOS(E_F): 1.8 states/eV/f.u.

Lattice parameters (Å, degrees): 3.793 2.974 5.264 73.53 90.00 90.00
Sites, in units of the cell vectors:
As 0.500 0.958 0.712
Li 0.000 0.800 0.023
Li 0.500 0.204 0.213
Ru 0.000 0.538 0.552

Record 2
# LaCe2Nd3Y6

A geometry-optimized LaCe2Nd3Y6 structure (PBE, the Alexandria database).

Output
* space group: C2/m
* DOS(E_F): 21.7 states/eV/f.u.

Lattice parameters (Å, degrees): 6.257 6.257 11.853 95.05 95.05 120.02
Each line ends with the local moment (μB).
Sites, in units of the cell vectors:
La 0.000 0.000 0.000  0.02
Ce 0.333 0.667 0.000  0.76
Ce 0.667 0.333 0.000  0.76
Nd 0.166 0.834 0.500  -0.01
Nd 0.834 0.166 0.500  -0.01
Nd 0.500 0.500 0.500  -0.01
Y 0.917 0.581 0.753  0.01
Y 0.746 0.746 0.247  0.01
Y 0.083 0.419 0.247  0.01
Y 0.581 0.917 0.753  0.01
Y 0.254 0.254 0.753  0.01
Y 0.419 0.083 0.247  0.01

Record 3
# Li4CuPd4

A geometry-optimized Li4CuPd4 structure (PBE, the Alexandria database).

Output
* space group: I4/mmm
* DOS(E_F): 2.5 states/eV/f.u.
* relative energy among the computed polymorphs: 0 meV per atom

Lattice parameters (Å, degrees): 4.042 5.937 5.937 83.35 70.10 70.10
Sites, in units of the cell vectors:
Li 0.669 0.662 0.000
Li 0.331 0.338 0.000
Li 0.669 0.000 0.662
Li 0.331 0.000 0.338
Cu 0.000 0.000 0.000
Pd 0.677 0.323 0.323
Pd 0.323 0.677 0.677
Pd 0.000 0.677 0.323
Pd 0.000 0.323 0.677

| no. | energy of formation (eV per atom) |
| --- | --- |
| 1 | -0.222 |
| 2 | 0.046 |
| 3 | -0.331 |